# Mg4HgRh2 PBE optimized geometry
# - energy of formation from the pure elements (eV/atom) = -0.213
# - size of the total moment (μB/f.u.) = 0.000
# - energy above the most stable polymorph in this dataset (kJ per mole of atoms) = 11.8
data_Mg4HgRh2
_cell_length_a 6.955
_cell_length_b 6.955
_cell_length_c 6.955
_cell_angle_alpha 110.02
_cell_angle_beta 110.02
_cell_angle_gamma 108.39
_space_group_name_H-M_alt 'P 1'
_space_group_IT_number 1
_space_group_name_Hall 'P 1'
loop_
_atom_site_label
_atom_site_type_symbol
_atom_site_fract_x
_atom_site_fract_y
_atom_site_fract_z
Mg1 Mg 0.100 0.519 0.746
Mg2 Mg 0.104 0.023 0.754
Mg3 Mg 0.269 0.350 0.246
Mg4 Mg 0.481 0.227 0.581
Mg5 Mg 0.646 0.900 0.419
Mg6 Mg 0.650 0.896 0.919
Mg7 Mg 0.773 0.354 0.254
Mg8 Mg 0.977 0.731 0.081
Hg1 Hg 0.250 0.750 0.500
Hg2 Hg 0.500 0.500 0.000
Rh1 Rh 0.012 0.125 0.387
Rh2 Rh 0.375 0.988 0.113
Rh3 Rh 0.738 0.625 0.613
Rh4 Rh 0.875 0.262 0.887

# MgHgRh2 PBE optimized geometry
# - energy of formation from the pure elements (eV/atom) = 0.027
# - size of the total moment (μB/f.u.) = 0.000
data_MgHgRh2
_cell_length_a 3.133
_cell_length_b 4.814
_cell_length_c 8.823
_cell_angle_alpha 90.00
_cell_angle_beta 90.00
_cell_angle_gamma 90.00
_space_group_name_H-M_alt 'P 1'
_space_group_IT_number 1
_space_group_name_Hall 'P 1'
loop_
_atom_site_label
_atom_site_type_symbol
_atom_site_fract_x
_atom_site_fract_y
_atom_site_fract_z
Mg1 Mg 0.000 0.000 0.000
Mg2 Mg 0.500 0.500 0.000
Hg1 Hg 0.000 0.000 0.500
Hg2 Hg 0.500 0.500 0.500
Rh1 Rh 0.000 0.500 0.237
Rh2 Rh 0.000 0.500 0.763
Rh3 Rh 0.500 0.000 0.237
Rh4 Rh 0.500 0.000 0.763

# MgHg2Rh2 PBE optimized geometry
# - energy of formation from the pure elements (eV/atom) = -0.076
# - size of the total moment (μB/f.u.) = 0.000
data_MgHg2Rh2
_cell_length_a 6.805
_cell_length_b 6.805
_cell_length_c 4.024
_cell_angle_alpha 90.00
_cell_angle_beta 90.00
_cell_angle_gamma 90.00
_space_group_name_H-M_alt 'P 1'
_space_group_IT_number 1
_space_group_name_Hall 'P 1'
loop_
_atom_site_label
_atom_site_type_symbol
_atom_site_fract_x
_atom_site_fract_y
_atom_site_fract_z
Mg1 Mg 0.000 0.000 0.000
Mg2 Mg 0.500 0.500 0.000
Hg1 Hg 0.165 0.335 0.500
Hg2 Hg 0.335 0.835 0.500
Hg3 Hg 0.665 0.165 0.500
Hg4 Hg 0.835 0.665 0.500
Rh1 Rh 0.136 0.636 0.000
Rh2 Rh 0.364 0.136 0.000
Rh3 Rh 0.636 0.864 0.000
Rh4 Rh 0.864 0.364 0.000

# Mg7HgRh4 PBE optimized geometry
# - energy of formation from the pure elements (eV/atom) = -0.178
# - size of the total moment (μB/f.u.) = 0.000
data_Mg7HgRh4
_cell_length_a 6.760
_cell_length_b 6.760
_cell_length_c 9.232
_cell_angle_alpha 123.63
_cell_angle_beta 123.63
_cell_angle_gamma 42.00
_space_group_name_H-M_alt 'P 1'
_space_group_IT_number 1
_space_group_name_Hall 'P 1'
loop_
_atom_site_label
_atom_site_type_symbol
_atom_site_fract_x
_atom_site_fract_y
_atom_site_fract_z
Mg1 Mg 0.000 0.000 0.000
Mg2 Mg 0.177 0.177 0.620
Mg3 Mg 0.281 0.281 0.130
Mg4 Mg 0.431 0.431 0.641
Mg5 Mg 0.569 0.569 0.359
Mg6 Mg 0.719 0.719 0.870
Mg7 Mg 0.823 0.823 0.380
Hg1 Hg 0.500 0.500 0.000
Rh1 Rh 0.066 0.066 0.781
Rh2 Rh 0.193 0.193 0.348
Rh3 Rh 0.807 0.807 0.652
Rh4 Rh 0.934 0.934 0.219

# MgHgRh2 PBE optimized geometry
# - energy of formation from the pure elements (eV/atom) = -0.108
# - size of the total moment (μB/f.u.) = 0.000
data_MgHgRh2
_cell_length_a 9.116
_cell_length_b 2.949
_cell_length_c 4.983
_cell_angle_alpha 90.00
_cell_angle_beta 101.45
_cell_angle_gamma 90.00
_space_group_name_H-M_alt 'P 1'
_space_group_IT_number 1
_space_group_name_Hall 'P 1'
loop_
_atom_site_label
_atom_site_type_symbol
_atom_site_fract_x
_atom_site_fract_y
_atom_site_fract_z
Mg1 Mg 0.000 0.000 0.000
Mg2 Mg 0.500 0.500 0.000
Hg1 Hg 0.000 0.500 0.500
Hg2 Hg 0.500 0.000 0.500
Rh1 Rh 0.245 0.500 0.235
Rh2 Rh 0.255 0.000 0.765
Rh3 Rh 0.745 0.000 0.235
Rh4 Rh 0.755 0.500 0.765

# Mg4Hg2Rh PBE optimized geometry
# - energy of formation from the pure elements (eV/atom) = -0.273
# - size of the total moment (μB/f.u.) = 0.000
data_Mg4Hg2Rh
_cell_length_a 4.585
_cell_length_b 4.585
_cell_length_c 13.713
_cell_angle_alpha 90.00
_cell_angle_beta 90.00
_cell_angle_gamma 90.00
_space_group_name_H-M_alt 'P 1'
_space_group_IT_number 1
_space_group_name_Hall 'P 1'
loop_
_atom_site_label
_atom_site_type_symbol
_atom_site_fract_x
_atom_site_fract_y
_atom_site_fract_z
Mg1 Mg 0.000 0.500 0.106
Mg2 Mg 0.000 0.500 0.394
Mg3 Mg 0.000 0.500 0.606
Mg4 Mg 0.000 0.500 0.894
Mg5 Mg 0.500 0.000 0.106
Mg6 Mg 0.500 0.000 0.394
Mg7 Mg 0.500 0.000 0.606
Mg8 Mg 0.500 0.000 0.894
Hg1 Hg 0.000 0.000 0.243
Hg2 Hg 0.000 0.000 0.757
Hg3 Hg 0.500 0.500 0.257
Hg4 Hg 0.500 0.500 0.743
Rh1 Rh 0.000 0.000 0.000
Rh2 Rh 0.500 0.500 0.500

# MgHgRh2 PBE optimized geometry
# - energy of formation from the pure elements (eV/atom) = -0.161
# - size of the total moment (μB/f.u.) = 0.001
data_MgHgRh2
_cell_length_a 3.268
_cell_length_b 4.473
_cell_length_c 4.474
_cell_angle_alpha 90.00
_cell_angle_beta 90.00
_cell_angle_gamma 90.00
_space_group_name_H-M_alt 'P 1'
_space_group_IT_number 1
_space_group_name_Hall 'P 1'
loop_
_atom_site_label
_atom_site_type_symbol
_atom_site_fract_x
_atom_site_fract_y
_atom_site_fract_z
Mg1 Mg 0.000 0.000 0.000
Hg1 Hg 0.000 0.500 0.498
Rh1 Rh 0.500 0.000 0.500
Rh2 Rh 0.500 0.500 0.998

# MgHgRh2 PBE optimized geometry
# - energy of formation from the pure elements (eV/atom) = 0.072
# - size of the total moment (μB/f.u.) = 1.258
data_MgHgRh2
_cell_length_a 2.942
_cell_length_b 2.942
_cell_length_c 27.333
_cell_angle_alpha 90.00
_cell_angle_beta 90.00
_cell_angle_gamma 120.00
_space_group_name_H-M_alt 'P 1'
_space_group_IT_number 1
_space_group_name_Hall 'P 1'
loop_
_atom_site_label
_atom_site_type_symbol
_atom_site_fract_x
_atom_site_fract_y
_atom_site_fract_z
Mg1 Mg 0.000 0.000 0.000
Mg2 Mg 0.333 0.667 0.667
Mg3 Mg 0.667 0.333 0.333
Hg1 Hg 0.000 0.000 0.760
Hg2 Hg 0.333 0.667 0.427
Hg3 Hg 0.667 0.333 0.094
Rh1 Rh 0.000 0.000 0.257
Rh2 Rh 0.000 0.000 0.514
Rh3 Rh 0.333 0.667 0.181
Rh4 Rh 0.333 0.667 0.923
Rh5 Rh 0.667 0.333 0.590
Rh6 Rh 0.667 0.333 0.848